This record from Alexandria via LeMat-Bulk describes a relaxed structure of Ca2PmGa3Au12. The functional is PBE-GGA.

a b c (Å): 7.0157 7.0157 29.5808
angles (deg): 90.00 90.00 120.00
Space group R-3m (No. 166, hexagonal axes)
Inequivalent atoms, fractional coordinates:
Ca1 0.0000 0.0000 0.1371 (multiplicity 6)
Pm1 0.0000 0.0000 0.5000 (multiplicity 3)
Ga1 0.0000 0.5000 0.0000 (multiplicity 9)
Au1 0.0548 0.5274 0.8918 (multiplicity 18)
Au2 0.0653 0.5326 0.6225 (multiplicity 18)

Output
Formation enthalpy at 0 K ... -0.2756 eV/atom
Crystal system ... trigonal